# GGA-PBE Pu6Pb2O, relaxed
# Energy relative to the elements, uncorrected   -0.45 eV per atom
# Raw total energy   -11.38 eV per atom
# Spin magnetization   24.05 μB per cell
data_Pu6Pb2O
_cell_length_a 6.795
_cell_length_b 6.795
_cell_length_c 9.513
_cell_angle_alpha 90.00
_cell_angle_beta 90.00
_cell_angle_gamma 90.00
_symmetry_space_group_name_H-M 'P 42/m n m'
_symmetry_Int_Tables_number 136
_symmetry_space_group_name_Hall '-P 4n 2n'
loop_
_atom_site_label
_atom_site_type_symbol
_atom_site_fract_x
_atom_site_fract_y
_atom_site_fract_z
_atom_site_occupancy
Pu1 Pu 0.000 0.000 0.243 1
Pu2 Pu 0.248 0.248 0.000 1
Pu3 Pu 0.248 0.248 0.500 1
Pb1 Pb 0.000 0.500 0.250 1
O1 O 0.000 0.000 0.500 1